## EuThP2 (GGA-PBE)

Data for EuThP2 after structural relaxation.

Lattice parameters (Å, degrees): 4.1952 4.1952 20.4800 90.00 90.00 120.00
Space group R-3m (No. 166, hexagonal axes)
One atom of each set of equivalent atoms:
1 Eu 0.0000 0.0000 0.0000 x3
2 Th 0.0000 0.0000 0.5000 x3
3 P 0.0000 0.0000 0.2461 x6

## Properties
Its total magnetic moment is 20.71 μB per cell. For the total energy, the calculation gives -102.99 eV for the cell shown. The calculated volume comes out at 312 Å³/cell. The value obtained for the calculated formation energy is -1.454 eV/atom.